Here is Cu2SiBr after structural relaxation from Alexandria via LeMat-Bulk. Energies are from GGA-PBE.

Output
**Raw total energy**: -3.656 eV/atom
**Symmetry**: R-3m (166)
**Formation energy (no corrections)**: 0.17 eV per atom
**Spin magnetization**: 0.0 Bohr magnetons per cell

a = 7.2424 Å, b = 7.2424 Å, c = 7.2424 Å
α = 26.54°, β = 26.54°, γ = 26.54°
Closest atoms and distances in Å follow each position.
Fractional positions:
Br 0.7500 0.7500 0.7500  6 Cu 2.73
Cu 0.9906 0.9906 0.9906  3 Si 2.47, 3 Br 2.73
Cu 0.5094 0.5094 0.5094  3 Si 2.47, 3 Br 2.73
Si 0.2500 0.2500 0.2500  6 Cu 2.47